(1)
# DyTlAu2 | Alexandria | PBE-GGA | relaxed
# M_tot, μB/cell: 0.00
# Formation enthalpy at 0 K, eV per atom: -0.531
# Theoretical density, g/cm³: 13.54
data_DyTlAu2
_chemical_formula_sum 'Dy1 Tl1 Au2'
_symmetry_space_group_name_H-M 'P 4/m m m'
_symmetry_Int_Tables_number 123
_symmetry_space_group_name_Hall '-P 4 2'
_cell_length_a 3.7176
_cell_length_b 3.7176
_cell_length_c 6.7503
_cell_angle_alpha 90.00
_cell_angle_beta 90.00
_cell_angle_gamma 90.00
loop_
_atom_site_label
_atom_site_type_symbol
_atom_site_fract_x
_atom_site_fract_y
_atom_site_fract_z
Dy1 Dy 0.0000 0.0000 0.0000
Tl1 Tl 0.0000 0.0000 0.5000
Au1 Au 0.5000 0.5000 0.2255

=====

(2)
# TbHo2Sc3Te6 | Alexandria | PBE-GGA | relaxed
# M_tot, μB/cell: 0.00
# Theoretical density, g/cm³: 7.04
# Uncorrected formation energy, eV/atom: -1.183
data_TbHo2Sc3Te6
_chemical_formula_sum 'Tb2 Ho4 Sc6 Te12'
_symmetry_space_group_name_H-M 'C 1 2/m 1'
_symmetry_Int_Tables_number 12
_symmetry_space_group_name_Hall '-C 2y'
_cell_length_a 18.5689
_cell_length_b 4.2484
_cell_length_c 8.5426
_cell_angle_alpha 90.00
_cell_angle_beta 103.39
_cell_angle_gamma 90.00
loop_
_atom_site_label
_atom_site_type_symbol
_atom_site_fract_x
_atom_site_fract_y
_atom_site_fract_z
Tb1 Tb 0.0000 0.0000 0.0000
Ho1 Ho 0.1655 0.5000 0.3312
Sc1 Sc 0.0000 0.0000 0.5000
Sc2 Sc 0.1649 0.5000 0.8330
Te1 Te 0.0027 0.5000 0.7403
Te2 Te 0.1643 0.0000 0.5900
Te3 Te 0.1710 0.0000 0.0765

=====

(3)
# TiCdSn2 | Alexandria | PBE-GGA | relaxed
# M_tot, μB/cell: 0.00
# Formation enthalpy at 0 K, eV per atom: -0.016
# Theoretical density, g/cm³: 7.44
data_TiCdSn2
_chemical_formula_sum 'Ti1 Cd1 Sn2'
_symmetry_space_group_name_H-M 'P 4/m m m'
_symmetry_Int_Tables_number 123
_symmetry_space_group_name_Hall '-P 4 2'
_cell_length_a 3.7584
_cell_length_b 3.7584
_cell_length_c 6.2862
_cell_angle_alpha 90.00
_cell_angle_beta 90.00
_cell_angle_gamma 90.00
loop_
_atom_site_label
_atom_site_type_symbol
_atom_site_fract_x
_atom_site_fract_y
_atom_site_fract_z
Ti1 Ti 0.0000 0.0000 0.0000
Cd1 Cd 0.0000 0.0000 0.5000
Sn1 Sn 0.5000 0.5000 0.2322

=====

(4)
# HgPO2F | Alexandria | PBE-GGA | relaxed
# M_tot, μB/cell: 0.00
# Theoretical density, g/cm³: 6.04
# Uncorrected formation energy, eV/atom: 0.568
data_HgPO2F
_chemical_formula_sum 'Hg1 P1 O2 F1'
_symmetry_space_group_name_H-M 'P 4/m m m'
_symmetry_Int_Tables_number 123
_symmetry_space_group_name_Hall '-P 4 2'
_cell_length_a 4.2418
_cell_length_b 4.2418
_cell_length_c 4.3191
_cell_angle_alpha 90.00
_cell_angle_beta 90.00
_cell_angle_gamma 90.00
loop_
_atom_site_label
_atom_site_type_symbol
_atom_site_fract_x
_atom_site_fract_y
_atom_site_fract_z
Hg1 Hg 0.0000 0.0000 0.0000
P1 P 0.5000 0.5000 0.5000
O1 O 0.0000 0.5000 0.0000
F1 F 0.0000 0.0000 0.5000